## GaSiRu2 (PBEsol)

Data for an optimized crystal structure of GaSiRu2.

The structure in POSCAR format:
```
GaSiRu2
1.0
4.1596 0.0000 0.0000
2.0798 3.6023 0.0000
2.0798 1.2008 3.3963
Ru Si Ga
2 1 1
Direct
0.7500 0.7500 0.7500 Ru
0.2500 0.2500 0.2500 Ru
0.0000 0.0000 0.0000 Si
0.5000 0.5000 0.5000 Ga
```

Uncorrected formation energy = -0.53 eV per atom
Crystal system = cubic

---

## KTl2Si (PBEsol)

Data for an optimized crystal structure of KTl2Si.

The structure in POSCAR format:
```
KTl2Si
1.0
-1.5325 3.6776 1.8181
-5.1691 -1.6610 -0.9974
3.2250 -3.1299 3.7751
K Si Tl
1 1 2
Direct
0.5212 0.5212 0.0424 K
0.2918 0.7918 0.5836 Si
0.9591 0.9591 0.9181 Tl
0.7279 0.2279 0.4559 Tl
```

Excess energy over the best structure of this formula in the dataset = 31 meV/atom
Uncorrected formation energy = 0.24 eV per atom
Crystal system = orthorhombic

---

## K3Rb (PBEsol)

Data for an optimized crystal structure of K3Rb.

The structure in POSCAR format:
```
K3Rb
1.0
6.6972 0.0000 0.0000
0.0000 6.6972 0.0000
-3.3486 -3.3486 6.5630
K Rb
3 1
Direct
0.2500 0.7500 0.5000 K
0.7500 0.2500 0.5000 K
0.5000 0.5000 0.0000 K
0.0000 0.0000 0.0000 Rb
```

Formation energy from the elements = 0.0 eV/f.u.
Crystal system = tetragonal

---

## MnFePb2I (PBEsol)

Data for an optimized crystal structure of MnFePb2I.

The structure in POSCAR format:
```
MnFePb2I
1.0
4.8606 0.0000 0.0000
0.0000 5.0538 0.0000
0.0000 0.0000 5.0538
Pb I Mn Fe
2 1 1 1
Direct
0.0000 0.0000 0.5000 Pb
0.0000 0.5000 0.0000 Pb
0.5000 0.5000 0.5000 I
0.5000 0.0000 0.0000 Mn
0.0000 0.0000 0.0000 Fe
```

Uncorrected formation energy = 0.48 eV per atom
Crystal system = tetragonal

---

## BeHg2Mo (PBEsol)

Data for an optimized crystal structure of BeHg2Mo.

The structure in POSCAR format:
```
BeHg2Mo
1.0
-1.7473 2.1660 0.2482
-0.5397 -0.1215 -2.7387
-6.4353 -5.3641 1.5061
Be Mo Hg
1 1 2
Direct
0.5000 0.5000 0.7296 Be
0.0000 0.0000 0.5402 Mo
0.0000 0.0000 0.9537 Hg
0.5000 0.5000 0.2765 Hg
```

Formation energy from the elements = 1.5 eV/f.u.
Crystal system = tetragonal

---

## FeH7C3NO6 (PBEsol)

Data for an optimized crystal structure of FeH7C3NO6.

The structure in POSCAR format:
```
FeH7C3NO6
1.0
-3.6854 -6.3645 -3.9569
10.6188 -6.5279 0.6098
-8.3904 -0.8602 9.1981
Fe H C N O
6 42 18 6 36
Direct
0.4112 0.6651 0.9970 Fe
0.4112 0.0030 0.6681 Fe
0.4112 0.3319 0.3349 Fe
0.9112 0.3349 0.0030 Fe
0.9112 0.9970 0.3319 Fe
0.9112 0.6681 0.6651 Fe
0.6747 0.7314 0.8722 H
0.6747 0.1278 0.8592 H
0.6747 0.1408 0.2686 H
0.1747 0.2686 0.1278 H
0.1747 0.8722 0.1408 H
0.1747 0.8592 0.7314 H
0.6909 0.4869 0.9388 H
0.6909 0.0612 0.5481 H
0.6909 0.4519 0.5131 H
0.1909 0.5131 0.0612 H
0.1909 0.9388 0.4519 H
0.1909 0.5481 0.4869 H
0.6339 0.8185 0.2140 H
0.6339 0.7860 0.6045 H
0.6339 0.3955 0.1815 H
0.1339 0.1815 0.7860 H
0.1339 0.2140 0.3955 H
0.1339 0.6045 0.8185 H
0.5070 0.4238 0.7306 H
0.5070 0.2694 0.6932 H
0.5070 0.3068 0.5762 H
0.0070 0.5762 0.2694 H
0.0070 0.7306 0.3068 H
0.0070 0.6932 0.4238 H
0.3450 0.3333 0.6667 H
0.8450 0.6667 0.3333 H
0.5075 0.6409 0.2429 H
0.5075 0.7571 0.3980 H
0.5075 0.6020 0.3591 H
0.0075 0.3591 0.7571 H
0.0075 0.2429 0.6020 H
0.0075 0.3980 0.6409 H
0.3456 0.6667 0.3333 H
0.8456 0.3333 0.6667 H
0.8150 0.9728 0.0636 H
0.8150 0.9364 0.9092 H
0.8150 0.0908 0.0272 H
0.3150 0.0272 0.9364 H
0.3150 0.0636 0.0908 H
0.3150 0.9092 0.9728 H
0.9768 0.0000 0.0000 H
0.4768 0.0000 0.0000 H
0.6670 0.6293 0.8134 C
0.6670 0.1866 0.8159 C
0.6670 0.1841 0.3707 C
0.1670 0.3707 0.1866 C
0.1670 0.8134 0.1841 C
0.1670 0.8159 0.6293 C
0.6733 0.5254 0.0396 C
0.6733 0.9604 0.4858 C
0.6733 0.5142 0.4746 C
0.1733 0.4746 0.9604 C
0.1733 0.0396 0.5142 C
0.1733 0.4858 0.5254 C
0.6493 0.8561 0.1507 C
0.6493 0.8493 0.7054 C
0.6493 0.2946 0.1439 C
0.1493 0.1439 0.8493 C
0.1493 0.1507 0.2946 C
0.1493 0.7054 0.8561 C
0.4678 0.3333 0.6667 N
0.9678 0.6667 0.3333 N
0.4684 0.6667 0.3333 N
0.9684 0.3333 0.6667 N
0.8540 0.0000 0.0000 N
0.3540 0.0000 0.0000 N
0.5552 0.5754 0.8383 O
0.5552 0.1617 0.7372 O
0.5552 0.2628 0.4246 O
0.0552 0.4246 0.1617 O
0.0552 0.8383 0.2628 O
0.0552 0.7372 0.5754 O
0.7673 0.5732 0.7272 O
0.7673 0.2728 0.8460 O
0.7673 0.1540 0.4268 O
0.2673 0.4268 0.2728 O
0.2673 0.7272 0.1540 O
0.2673 0.8460 0.5732 O
0.5554 0.5987 0.0902 O
0.5554 0.9098 0.5086 O
0.5554 0.4914 0.4013 O
0.0554 0.4013 0.9098 O
0.0554 0.0902 0.4914 O
0.0554 0.5086 0.5987 O
0.7689 0.4936 0.0973 O
0.7689 0.9027 0.3963 O
0.7689 0.6037 0.5064 O
0.2689 0.5064 0.9027 O
0.2689 0.0973 0.6037 O
0.2689 0.3963 0.4936 O
0.5525 0.8241 0.0620 O
0.5525 0.9380 0.7621 O
0.5525 0.2379 0.1759 O
0.0525 0.1759 0.9380 O
0.0525 0.0620 0.2379 O
0.0525 0.7621 0.8241 O
0.7666 0.9297 0.1727 O
0.7666 0.8273 0.7570 O
0.7666 0.2430 0.0703 O
0.2666 0.0703 0.8273 O
0.2666 0.1727 0.2430 O
0.2666 0.7570 0.9297 O
```

Electronic total energy = -6.41 eV/atom
Crystal system = hexagonal

---

| no. | M_tot (Bohr magnetons per cell) | mass density (g/cm³) |
| --- | --- | --- |
| 1 | 0.00 | 9.8 |
| 2 | 0.00 | 7.0 |
| 3 | 0.00 | 1.1 |
| 4 | 5.20 | 8.7 |
| 5 | 0.00 | 12.6 |
| 6 | 24.00 | 1.8 |